[1]
VNiPd2 | PBE | optimized geometry

## Properties
Crystal system   tetragonal
Density   9.698 g/cm³
Space group   P4/mmm, No. 123

a = 3.7448 Å, b = 3.8398 Å, c = 3.8398 Å
α = 90.00°, β = 90.00°, γ = 90.00°
Closest atoms and distances in Å follow each position.
Atoms (fractional coordinates):
Ni (0.5000, 0.0000, 0.0000)  8 Pd 2.68, 4 V 2.72
Pd (0.0000, 0.0000, 0.5000)  4 Ni 2.68, 4 V 2.68, 4 Pd 2.72
Pd (0.0000, 0.5000, 0.0000)  4 Ni 2.68, 4 V 2.68, 4 Pd 2.72
V (0.5000, 0.5000, 0.5000)  8 Pd 2.68, 4 Ni 2.72

=====

[2]
VNi3Pd4 | PBE | optimized geometry

## Properties
Crystal system   monoclinic
Density   9.044 g/cm³
Space group   C2/m, No. 12

a = 2.6871 Å, b = 4.2889 Å, c = 13.9411 Å
α = 131.23°, β = 95.53°, γ = 90.00°
Closest atoms and distances in Å follow each position.
Atoms (fractional coordinates):
Ni (0.0000, 0.5000, 0.0000)  4 V 2.53, 4 Pd 2.56, 2 Ni 2.69
Ni (0.2055, 0.2132, 0.4109)  4 Ni 2.43-2.69, 7 Pd 2.55-2.60
Ni (0.7945, 0.7868, 0.5891)  4 Ni 2.43-2.69, 7 Pd 2.55-2.60
Pd (0.4016, 0.2517, 0.8032)  1 V 2.48, 4 Ni 2.56-2.60, 2 Pd 2.69
Pd (0.5984, 0.7483, 0.1968)  1 V 2.48, 4 Ni 2.56-2.60, 2 Pd 2.69
Pd (0.6870, 0.6375, 0.3741)  5 Ni 2.55-2.60, 3 Pd 2.69-2.80
Pd (0.3130, 0.3625, 0.6259)  5 Ni 2.55-2.60, 3 Pd 2.69-2.80
V (0.5000, 0.0000, 0.0000)  2 Pd 2.48, 4 Ni 2.53, 2 V 2.69

=====

[3]
V4Ni5Pd | PBE | optimized geometry

## Properties
Crystal system   orthorhombic
Density   7.678 g/cm³
Space group   Pmmn, No. 59

a = 4.1710 Å, b = 8.3711 Å, c = 7.4778 Å
α = 90.00°, β = 90.00°, γ = 90.00°
Closest atoms and distances in Å follow each position.
Atoms (fractional coordinates):
V (0.9394, 0.0000, 0.7017)  5 Ni 2.33-2.61, 1 Pd 2.52
V (0.2380, 0.7781, 0.0000)  7 Ni 2.44-2.58, 1 Pd 2.56
V (0.2380, 0.2219, 0.0000)  7 Ni 2.44-2.58, 1 Pd 2.56
V (0.9394, 0.0000, 0.2983)  5 Ni 2.33-2.61, 1 Pd 2.52
V (0.0606, 0.5000, 0.2017)  5 Ni 2.33-2.61, 1 Pd 2.52
V (0.7620, 0.7219, 0.5000)  7 Ni 2.44-2.58, 1 Pd 2.56
V (0.7620, 0.2781, 0.5000)  7 Ni 2.44-2.58, 1 Pd 2.56
V (0.0606, 0.5000, 0.7983)  5 Ni 2.33-2.61, 1 Pd 2.52
Ni (0.2539, 0.7719, 0.6669)  5 V 2.33-2.61, 4 Ni 2.43-2.50
Ni (0.2539, 0.2281, 0.6669)  5 V 2.33-2.61, 4 Ni 2.43-2.50
Ni (0.5066, 0.5000, 0.0000)  4 V 2.40-2.58, 4 Ni 2.49
Ni (0.2539, 0.7719, 0.3331)  5 V 2.33-2.61, 4 Ni 2.43-2.50
Ni (0.2539, 0.2281, 0.3331)  5 V 2.33-2.61, 4 Ni 2.43-2.50
Ni (0.7461, 0.7281, 0.1669)  5 V 2.33-2.61, 4 Ni 2.43-2.50
Ni (0.7461, 0.2719, 0.1669)  5 V 2.33-2.61, 4 Ni 2.43-2.50
Ni (0.4934, 0.0000, 0.5000)  4 V 2.40-2.58, 4 Ni 2.49
Ni (0.7461, 0.2719, 0.8331)  5 V 2.33-2.61, 4 Ni 2.43-2.50
Ni (0.7461, 0.7281, 0.8331)  5 V 2.33-2.61, 4 Ni 2.43-2.50
Pd (0.6595, 0.0000, 0.0000)  4 V 2.52-2.56, 4 Ni 2.62
Pd (0.3405, 0.5000, 0.5000)  4 V 2.52-2.56, 4 Ni 2.62

=====

[4]
V2NiPd | PBE | optimized geometry

## Properties
Crystal system   cubic
Density   7.940 g/cm³
Space group   Fm-3m, No. 225

a = 4.2903 Å, b = 4.2903 Å, c = 4.2903 Å
α = 60.00°, β = 60.00°, γ = 60.00°
Closest atoms and distances in Å follow each position.
Atoms (fractional coordinates):
Ni (0.0000, 0.0000, 0.0000)  8 V 2.63
Pd (0.5000, 0.5000, 0.5000)  8 V 2.63
V (0.2500, 0.2500, 0.2500)  4 Pd 2.63, 4 Ni 2.63
V (0.7500, 0.7500, 0.7500)  4 Pd 2.63, 4 Ni 2.63

=====

[5]
VNi5Pd8 | PBE | optimized geometry

## Properties
Crystal system   tetragonal
Density   9.834 g/cm³
Space group   I-4, No. 82

a = 6.4044 Å, b = 6.4044 Å, c = 6.4044 Å
α = 110.79°, β = 106.87°, γ = 110.79°
Closest atoms and distances in Å follow each position.
Atoms (fractional coordinates):
V (0.2500, 0.5000, 0.7500)  4 Pd 2.38
Ni (0.0313, 0.3090, 0.1221)  8 Pd 2.50-2.73, 2 Ni 2.63
Ni (0.8779, 0.9092, 0.1869)  8 Pd 2.50-2.73, 2 Ni 2.63
Ni (0.8131, 0.6910, 0.7223)  8 Pd 2.50-2.73, 2 Ni 2.63
Ni (0.5000, 0.0000, 0.5000)  8 Pd 2.45-2.55
Ni (0.2777, 0.0908, 0.9687)  8 Pd 2.50-2.73, 2 Ni 2.63
Pd (0.1547, 0.7172, 0.0622)  1 V 2.38, 5 Ni 2.45-2.65
Pd (0.9378, 0.0925, 0.6550)  1 V 2.38, 5 Ni 2.45-2.65
Pd (0.7415, 0.2630, 0.3437)  5 Ni 2.55-2.73, 4 Pd 2.66-2.81
Pd (0.6563, 0.3978, 0.9193)  5 Ni 2.55-2.73, 4 Pd 2.66-2.81
Pd (0.5215, 0.6022, 0.2585)  5 Ni 2.55-2.73, 4 Pd 2.66-2.81
Pd (0.5625, 0.9075, 0.8453)  1 V 2.38, 5 Ni 2.45-2.65
Pd (0.3450, 0.2828, 0.4375)  1 V 2.38, 5 Ni 2.45-2.65
Pd (0.0807, 0.7370, 0.4785)  5 Ni 2.55-2.73, 4 Pd 2.66-2.81

=====

[6]
VNi2Pd | PBE | optimized geometry

## Properties
Crystal system   orthorhombic
Density   8.688 g/cm³
Space group   Cmcm, No. 63

a = 3.8767 Å, b = 4.6726 Å, c = 6.3722 Å
α = 90.00°, β = 90.00°, γ = 114.51°
Closest atoms and distances in Å follow each position.
Atoms (fractional coordinates):
V (0.7830, 0.5661, 0.7500)  6 Ni 2.33-2.41, 1 Pd 2.49
V (0.2170, 0.4339, 0.2500)  6 Ni 2.33-2.41, 1 Pd 2.49
Ni (0.3668, 0.7336, 0.9444)  3 V 2.33-2.41, 2 Ni 2.37-2.48
Ni (0.6332, 0.2664, 0.0556)  3 V 2.33-2.41, 2 Ni 2.37-2.48
Ni (0.6332, 0.2664, 0.4444)  3 V 2.33-2.41, 2 Ni 2.37-2.48
Ni (0.3668, 0.7336, 0.5556)  3 V 2.33-2.41, 2 Ni 2.37-2.48
Pd (0.0764, 0.1527, 0.7500)  3 V 2.49-2.62, 6 Ni 2.76-2.79
Pd (0.9236, 0.8473, 0.2500)  3 V 2.49-2.62, 6 Ni 2.76-2.79

=====

[7]
VNiPd2 | PBE | optimized geometry

## Properties
Crystal system   tetragonal
Density   8.856 g/cm³
Space group   I-42d, No. 122

a = 6.7521 Å, b = 6.7521 Å, c = 5.4618 Å
α = 51.82°, β = 51.82°, γ = 90.00°
Closest atoms and distances in Å follow each position.
Atoms (fractional coordinates):
Ni (0.0000, 0.0000, 0.0000)  4 Pd 2.51, 2 V 2.65
Ni (0.7500, 0.2500, 0.5000)  4 Pd 2.51, 2 V 2.65
Pd (0.6184, 0.1250, 0.2500)  2 V 2.45, 2 Ni 2.51, 2 Pd 2.65
Pd (0.1316, 0.6250, 0.2500)  2 V 2.45, 2 Ni 2.51, 2 Pd 2.65
Pd (0.3750, 0.3816, 0.7500)  2 V 2.45, 2 Ni 2.51, 2 Pd 2.65
Pd (0.8750, 0.8684, 0.7500)  2 V 2.45, 2 Ni 2.51, 2 Pd 2.65
V (0.5000, 0.5000, 0.0000)  4 Pd 2.45, 2 Ni 2.65
V (0.2500, 0.7500, 0.5000)  4 Pd 2.45, 2 Ni 2.65

=====

[8]
V2NiPd3 | PBE | optimized geometry

## Properties
Crystal system   monoclinic
Density   9.261 g/cm³
Space group   C2/m, No. 12

a = 2.6536 Å, b = 6.8301 Å, c = 9.9264 Å
α = 78.45°, β = 82.32°, γ = 78.80°
Closest atoms and distances in Å follow each position.
Atoms (fractional coordinates):
V (0.8257, 0.4785, 0.8702)  5 Pd 2.53-2.61, 2 V 2.65, 2 Ni 2.66
V (0.1743, 0.5215, 0.1298)  5 Pd 2.53-2.61, 2 V 2.65, 2 Ni 2.66
V (0.6431, 0.1803, 0.5336)  2 Ni 2.42-2.55, 4 Pd 2.59-2.67, 2 V 2.65
V (0.3569, 0.8197, 0.4664)  2 Ni 2.42-2.55, 4 Pd 2.59-2.67, 2 V 2.65
Ni (0.4402, 0.4841, 0.6354)  4 V 2.42-2.66, 3 Ni 2.63-2.65, 2 Pd 2.67
Ni (0.5598, 0.5159, 0.3646)  4 V 2.42-2.66, 3 Ni 2.63-2.65, 2 Pd 2.67
Pd (0.0404, 0.1470, 0.7721)  3 V 2.57-2.67, 4 Pd 2.65-2.87, 2 Ni 2.75
Pd (0.9596, 0.8530, 0.2279)  3 V 2.57-2.67, 4 Pd 2.65-2.87, 2 Ni 2.75
Pd (0.6108, 0.8078, 0.9705)  3 V 2.57-2.61, 4 Pd 2.65-2.74
Pd (0.3892, 0.1922, 0.0295)  3 V 2.57-2.61, 4 Pd 2.65-2.74
Pd (0.7507, 0.8040, 0.6945)  4 V 2.53-2.73, 3 Pd 2.65-2.72, 2 Ni 2.67
Pd (0.2493, 0.1960, 0.3055)  4 V 2.53-2.73, 3 Pd 2.65-2.72, 2 Ni 2.67

=====

[9]
VNiPd2 | PBE | optimized geometry

## Properties
Crystal system   orthorhombic
Density   9.809 g/cm³
Space group   Cmcm, No. 63

a = 5.4044 Å, b = 5.3760 Å, c = 4.6284 Å
α = 90.00°, β = 125.72°, γ = 90.00°
Closest atoms and distances in Å follow each position.
Atoms (fractional coordinates):
V (0.7313, 0.2500, 0.0000)  3 Ni 2.49-2.69, 8 Pd 2.68
V (0.2687, 0.7500, 0.0000)  3 Ni 2.49-2.69, 8 Pd 2.68
Ni (0.7286, 0.7500, 0.0000)  3 V 2.49-2.69, 8 Pd 2.68
Ni (0.2714, 0.2500, 0.0000)  3 V 2.49-2.69, 8 Pd 2.68
Pd (0.2397, 0.5001, 0.4794)  4 V 2.68, 4 Ni 2.68, 4 Pd 2.69-2.71
Pd (0.7603, 0.4999, 0.5206)  4 V 2.68, 4 Ni 2.68, 4 Pd 2.69-2.71
Pd (0.2397, 0.0001, 0.4794)  4 V 2.68, 4 Ni 2.68, 4 Pd 2.69-2.71
Pd (0.7603, 0.9999, 0.5206)  4 V 2.68, 4 Ni 2.68, 4 Pd 2.69-2.71

=====

[10]
VNi2Pd4 | PBE | optimized geometry

## Properties
Crystal system   monoclinic
Density   9.712 g/cm³
Space group   C2/m, No. 12

a = 4.9458 Å, b = 4.9458 Å, c = 4.6753 Å
α = 90.66°, β = 90.66°, γ = 117.34°
Closest atoms and distances in Å follow each position.
Atoms (fractional coordinates):
V (0.0000, 0.0000, 0.0000)  8 Pd 2.47-2.71, 2 Ni 2.66
Ni (0.5422, 0.5422, 0.2553)  2 Ni 2.34-2.42
Ni (0.4578, 0.4578, 0.7447)  2 Ni 2.34-2.42
Pd (0.8369, 0.1631, 0.5000)  2 V 2.71, 7 Pd 2.74-2.96, 2 Ni 2.94
Pd (0.1631, 0.8369, 0.5000)  2 V 2.71, 7 Pd 2.74-2.96, 2 Ni 2.94
Pd (0.5000, 0.0000, 0.0000)  2 V 2.47, 4 Pd 2.57-2.74, 2 Ni 2.66
Pd (0.0000, 0.5000, 0.0000)  2 V 2.47, 4 Pd 2.57-2.74, 2 Ni 2.66

=====

[11]
VNiPd4 | PBE | optimized geometry

## Properties
Crystal system   monoclinic
Density   10.345 g/cm³
Space group   C2/m, No. 12

a = 4.7889 Å, b = 4.7889 Å, c = 4.6286 Å
α = 81.69°, β = 81.69°, γ = 122.00°
Closest atoms and distances in Å follow each position.
Atoms (fractional coordinates):
V (0.9981, 0.5026, 0.5013)  10 Pd 2.68-2.84, 2 Ni 2.75
Ni (0.4982, 0.0028, 0.0013)  10 Pd 2.68-2.84, 2 V 2.75
Pd (0.3376, 0.1632, 0.5013)  2 Ni 2.68, 3 V 2.68-2.84, 7 Pd 2.69-2.76
Pd (0.6586, 0.8422, 0.5013)  2 Ni 2.68, 3 V 2.68-2.84, 7 Pd 2.69-2.76
Pd (0.8375, 0.6634, 0.0013)  2 V 2.68, 3 Ni 2.68-2.84, 7 Pd 2.69-2.76
Pd (0.1588, 0.3420, 0.0013)  2 V 2.68, 3 Ni 2.68-2.84, 7 Pd 2.69-2.76

=====

[12]
VNi4Pd2 | PBE | optimized geometry

## Properties
Crystal system   triclinic
Density   9.480 g/cm³
Space group   P1, No. 1

a = 5.2774 Å, b = 5.7363 Å, c = 6.8832 Å
α = 114.50°, β = 100.99°, γ = 103.29°
Closest atoms and distances in Å follow each position.
Atoms (fractional coordinates):
V (0.3987, 0.7122, 0.5428)  7 Ni 2.45-2.67, 4 Pd 2.53-2.67
V (0.0547, 0.8495, 0.9724)  9 Ni 2.44-2.65, 3 Pd 2.59-2.67
Ni (0.9359, 0.7122, 0.5456)  2 V 2.45-2.61, 5 Ni 2.47-2.69, 4 Pd 2.54-2.69
Ni (0.3420, 0.1167, 0.8221)  2 V 2.45-2.56, 7 Ni 2.47-2.67, 3 Pd 2.57-2.63
Ni (0.9800, 0.2738, 0.2422)  6 Ni 2.48-2.68, 2 V 2.55-2.62, 4 Pd 2.64-2.72
Ni (0.1869, 0.9657, 0.3831)  5 Ni 2.48-2.68, 2 V 2.48-2.53, 5 Pd 2.62-2.74
Ni (0.8400, 0.1062, 0.8295)  2 V 2.44-2.56, 7 Ni 2.46-2.65, 3 Pd 2.70-2.73
Ni (0.2512, 0.5542, 0.1018)  6 Ni 2.49-2.67, 2 V 2.54-2.67, 3 Pd 2.57-2.59
Ni (0.7793, 0.5510, 0.1015)  7 Ni 2.49-2.69, 3 Pd 2.54-2.58, 1 V 2.54
Ni (0.5512, 0.8407, 0.9608)  5 Ni 2.46-2.64, 4 Pd 2.55-2.64, 3 V 2.56-2.65
Pd (0.6894, 0.9573, 0.3851)  1 V 2.53, 8 Ni 2.54-2.72, 3 Pd 2.69-2.74
Pd (0.6312, 0.4215, 0.6868)  6 Ni 2.54-2.74, 2 V 2.59-2.67, 4 Pd 2.63-2.74
Pd (0.1269, 0.4083, 0.6776)  7 Ni 2.58-2.70, 2 V 2.58-2.67, 3 Pd 2.63-2.69
Pd (0.4827, 0.2807, 0.2487)  8 Ni 2.57-2.69, 2 V 2.59-2.67, 2 Pd 2.67-2.74

=====

So what do the calculations give for ΔE_f? Going down the list: -0.169, 0.230, 0.009, 0.076, 0.147, -0.008, 0.267, -0.045, -0.210, 0.073, -0.138, -0.104 eV per atom.
So what do the calculations give for calculated total energy? Going down the list: -6.4905, -5.6746, -7.0488, -7.2265, -5.5364, -6.4764, -6.0548, -6.6448, -6.5318, -5.8488, -6.0833, -6.1943 eV/atom.